# 1
Here is crystalline NaReP2S at its relaxed geometry from Alexandria. Energies are from GGA-PBE.

Cell: 4.562 4.562 5.177 Å, 90.00 90.00 90.00°
Element x y z (fractional)
Na: 0.500 0.500 0.500
P: 0.000 0.500 0.000
S: 0.000 0.000 0.500
P: 0.500 0.000 0.000
Re: 0.000 0.000 0.000

Raw formation energy in eV per atom: 0.16
Total moment in μB per formula unit: 0.000
Offset from the most stable computed form in meV/atom: 0

***

# 2
Here is crystalline NaScReP2 at its relaxed geometry from Alexandria. Energies are from GGA-PBE.

Cell: 4.973 5.052 4.973 Å, 90.00 90.00 90.00°
Last column: magnetic moment on the atom in μB.
Element x y z (fractional)
Re: 0.000 0.500 0.000  2.64
P: 0.000 0.000 0.500  0.00
Sc: 0.000 0.000 0.000  -0.05
Na: 0.500 0.500 0.500  0.01
P: 0.500 0.000 0.000  0.01

Total moment in μB per formula unit: 3.255
Energy of formation from the pure elements in eV per atom: 1.026